Arrangement i

{"formula": "NaPN2F", "functional": "PBE", "state": "optimized geometry", "lattice": [[-4.242, 1.402, -0.627], [-0.229, -2.400, -3.814], [-1.317, -3.082, 2.018]], "species": ["Na", "F", "N", "N", "P"], "fractional_positions": [[0.000, 0.000, 0.000], [0.000, 0.000, 0.500], [0.000, 0.500, 0.000], [0.500, 0.000, 0.000], [0.500, 0.500, 0.500]], "magmom_total_mub_per_fu": 3.00}



Arrangement ii

{"formula": "NaPN2F", "functional": "PBE", "state": "optimized geometry", "lattice": [[3.527, 0.000, 0.000], [0.000, 5.615, -1.462], [0.000, -1.654, 7.440]], "species": ["P", "P", "F", "F", "N", "N", "N", "N", "Na", "Na"], "fractional_positions": [[0.750, 0.112, 0.146], [0.250, 0.888, 0.854], [0.750, 0.432, 0.206], [0.250, 0.568, 0.794], [0.750, 0.048, 0.328], [0.250, 0.090, 0.101], [0.750, 0.910, 0.899], [0.250, 0.952, 0.672], [0.250, 0.746, 0.322], [0.750, 0.254, 0.678]], "magmom_total_mub_per_fu": 1.01}



Arrangement iii

{"formula": "NaPN2F", "functional": "PBE", "state": "optimized geometry", "lattice": [[3.307, 0.000, 0.000], [0.000, 3.307, 0.000], [0.000, 0.000, 4.826]], "species": ["N", "N", "P", "F", "Na"], "fractional_positions": [[0.000, 0.500, 0.000], [0.500, 0.000, 0.000], [0.000, 0.000, 0.000], [0.000, 0.000, 0.500], [0.500, 0.500, 0.500]], "magmom_total_mub_per_fu": 0.43}



What are the relative energies? In meV/atom: arrangement i 2262; arrangement ii 0; arrangement iii 237.



Arrangement i

{"formula": "NaPNF2", "functional": "PBE", "state": "optimized geometry", "lattice": [[-2.700, 3.073, -1.447], [-2.960, -1.222, 2.928], [1.276, 2.151, 2.187]], "species": ["N", "P", "Na", "F", "F"], "fractional_positions": [[0.000, 0.000, 0.500], [0.000, 0.000, 0.000], [0.500, 0.500, 0.500], [0.000, 0.500, 0.000], [0.500, 0.000, 0.000]], "magmom_total_mub_per_fu": 0.00}



Arrangement ii

{"formula": "NaPNF2", "functional": "PBE", "state": "optimized geometry", "lattice": [[3.947, 0.000, 0.000], [0.000, 3.947, 0.000], [0.000, 0.000, 4.490]], "species": ["N", "F", "F", "Na", "P"], "fractional_positions": [[0.000, 0.000, 0.500], [0.500, 0.000, 0.000], [0.000, 0.500, 0.000], [0.000, 0.000, 0.000], [0.500, 0.500, 0.500]], "magmom_total_mub_per_fu": 1.00}



What are the relative energies? In meV/atom: arrangement i 0; arrangement ii 1392.



Arrangement i

{"formula": "NaPbNF2", "functional": "PBE", "state": "optimized geometry", "lattice": [[4.136, 0.000, 0.000], [0.000, 4.136, 0.000], [0.000, 0.000, 4.525]], "species": ["N", "F", "F", "Pb", "Na"], "fractional_positions": [[0.000, 0.000, 0.500], [0.500, 0.000, 0.000], [0.000, 0.500, 0.000], [0.500, 0.500, 0.500], [0.000, 0.000, 0.000]], "magmom_total_mub_per_fu": 2.00}



Arrangement ii

{"formula": "NaPbNF2", "functional": "PBE", "state": "optimized geometry", "lattice": [[-2.415, 2.283, -3.252], [-3.835, -2.337, 1.208], [-0.926, 2.942, 2.753]], "species": ["Pb", "Na", "F", "F", "N"], "fractional_positions": [[0.000, 0.000, 0.000], [0.500, 0.500, 0.500], [0.500, 0.000, 0.000], [0.000, 0.500, 0.000], [0.000, 0.000, 0.500]], "magmom_total_mub_per_fu": 0.37}



What are the relative energies? In meV/atom: arrangement i 149; arrangement ii 0.